Record 1
# CsBiAs2Br PBE-GGA optimized geometry
# formation energy without anion corrections: 1133 meV per atom
# density of states at the Fermi level: 0.70 states/eV/atom
# theoretical density: 4.1 g/cm3
# energy: -10.04 eV for the cell shown
# distance to the lowest polymorph of the same formula: 112.2 kJ/mol of atoms
data_CsBiAs2Br
_cell_length_a 6.091
_cell_length_b 6.091
_cell_length_c 6.223
_cell_angle_alpha 90.00
_cell_angle_beta 90.00
_cell_angle_gamma 90.00
_space_group_name_H-M_alt 'P 4/m m m'
_space_group_IT_number 123
_space_group_name_Hall '-P 4 2'
loop_
_atom_site_label
_atom_site_type_symbol
_atom_site_fract_x
_atom_site_fract_y
_atom_site_fract_z
_atom_site_occupancy
Cs1 Cs 0.000 0.000 0.000 1
Bi1 Bi 0.500 0.500 0.500 1
As1 As 0.000 0.500 0.000 1
Br1 Br 0.000 0.000 0.500 1

=====

Record 2
# AlZn4Ag2 PBE-GGA optimized geometry
# density of states at the Fermi level: 0.25 states/eV/atom
# theoretical density: 6.9 g/cm3
# formation enthalpy at 0 K: 0.68 eV per formula unit
# energy: -27.72 eV for the cell shown
# distance to the lowest polymorph of the same formula: 5.5 kJ/mol of atoms
data_AlZn4Ag2
_cell_length_a 6.436
_cell_length_b 6.436
_cell_length_c 5.839
_cell_angle_alpha 90.00
_cell_angle_beta 90.00
_cell_angle_gamma 90.00
_space_group_name_H-M_alt 'I 4 m m'
_space_group_IT_number 107
_space_group_name_Hall 'I 4 -2'
loop_
_atom_site_label
_atom_site_type_symbol
_atom_site_fract_x
_atom_site_fract_y
_atom_site_fract_z
_atom_site_occupancy
Al1 Al 0.000 0.000 0.000 1
Zn1 Zn 0.210 0.210 0.647 1
Ag1 Ag 0.000 0.500 0.406 1